VASP calculation (PBE-GGA) on an optimized crystal structure of Tb2CeGaC.

Values from the calculation:
Formation energy from the elements, eV per atom: -0.367
Total magnetic moment, μB/f.u.: 0.3

Cell: 4.920 4.920 4.832 Å, 90.00 90.00 90.00°
Space group P4/mmm (No. 123)
One atom of each set of equivalent atoms:
Tb  0.000  0.500  0.000 (multiplicity 2)
Ce  0.000  0.000  0.500 (multiplicity 1)
Ga  0.500  0.500  0.500 (multiplicity 1)
C  0.000  0.000  0.000 (multiplicity 1)